PrSi4Ir2 | PBE | relaxed

abc: 16.926 4.211 6.483
angles: 90.00 90.00 90.00
Positions (direct):
Pr: 0.141 0.250 0.010
Pr: 0.359 0.750 0.510
Pr: 0.641 0.250 0.490
Pr: 0.859 0.750 0.990
Si: 0.030 0.750 0.139
Si: 0.065 0.250 0.536
Si: 0.181 0.750 0.691
Si: 0.195 0.750 0.291
Si: 0.305 0.250 0.791
Si: 0.319 0.250 0.191
Si: 0.435 0.750 0.036
Si: 0.470 0.250 0.639
Si: 0.530 0.750 0.361
Si: 0.565 0.250 0.964
Si: 0.681 0.750 0.809
Si: 0.695 0.750 0.209
Si: 0.805 0.250 0.709
Si: 0.819 0.250 0.309
Si: 0.935 0.750 0.464
Si: 0.970 0.250 0.861
Ir: 0.033 0.750 0.745
Ir: 0.211 0.250 0.493
Ir: 0.289 0.750 0.993
Ir: 0.467 0.250 0.245
Ir: 0.533 0.750 0.755
Ir: 0.711 0.250 0.007
Ir: 0.789 0.750 0.507
Ir: 0.967 0.250 0.255

**Calculated volume**: 115.5 Å³/f.u.
**Total DFT energy (no corrections)**: -7.056 eV per atom
**E_form (uncorrected)**: -0.7425 eV per atom

***

Pr3Si3Ir2 | PBE | relaxed

abc: 6.022 6.022 14.533
angles: 90.00 90.00 138.46
Positions (direct):
Pr: 0.074 0.926 0.608
Pr: 0.074 0.926 0.892
Pr: 0.357 0.643 0.750
Pr: 0.643 0.357 0.250
Pr: 0.926 0.074 0.108
Pr: 0.926 0.074 0.392
Si: 0.336 0.664 0.250
Si: 0.346 0.654 0.536
Si: 0.346 0.654 0.964
Si: 0.654 0.346 0.036
Si: 0.654 0.346 0.464
Si: 0.664 0.336 0.750
Ir: 0.212 0.788 0.102
Ir: 0.212 0.788 0.398
Ir: 0.788 0.212 0.602
Ir: 0.788 0.212 0.898

**Calculated volume**: 174.7 Å³/f.u.
**Total DFT energy (no corrections)**: -6.885 eV per atom
**E_form (uncorrected)**: -0.8442 eV per atom

***

PrSiIr2 | PBE | relaxed

abc: 4.065 4.065 9.533
angles: 90.00 90.00 90.00
Positions (direct):
Pr: 0.250 0.250 0.205
Pr: 0.750 0.750 0.795
Si: 0.250 0.250 0.636
Si: 0.750 0.750 0.364
Ir: 0.250 0.250 0.879
Ir: 0.250 0.750 0.500
Ir: 0.750 0.250 0.500
Ir: 0.750 0.750 0.121

**Calculated volume**: 78.7 Å³/f.u.
**Total DFT energy (no corrections)**: -7.696 eV per atom
**E_form (uncorrected)**: -0.7146 eV per atom

***

Pr3Si2Ir2 | PBE | relaxed

abc: 5.899 7.992 13.361
angles: 90.00 90.00 90.00
Positions (direct):
Pr: 0.126 0.234 0.250
Pr: 0.126 0.266 0.750
Pr: 0.372 0.617 0.604
Pr: 0.372 0.617 0.896
Pr: 0.372 0.883 0.104
Pr: 0.372 0.883 0.396
Pr: 0.628 0.117 0.604
Pr: 0.628 0.117 0.896
Pr: 0.628 0.383 0.104
Pr: 0.628 0.383 0.396
Pr: 0.874 0.734 0.250
Pr: 0.874 0.766 0.750
Si: 0.085 0.250 0.000
Si: 0.085 0.250 0.500
Si: 0.343 0.587 0.250
Si: 0.343 0.913 0.750
Si: 0.657 0.087 0.250
Si: 0.657 0.413 0.750
Si: 0.915 0.750 0.000
Si: 0.915 0.750 0.500
Ir: 0.138 0.522 0.088
Ir: 0.138 0.522 0.412
Ir: 0.138 0.978 0.588
Ir: 0.138 0.978 0.912
Ir: 0.862 0.022 0.088
Ir: 0.862 0.022 0.412
Ir: 0.862 0.478 0.588
Ir: 0.862 0.478 0.912

**Calculated volume**: 157.5 Å³/f.u.
**Total DFT energy (no corrections)**: -6.949 eV per atom
**E_form (uncorrected)**: -0.8200 eV per atom

***

Pr6Si2Ir | PBE | relaxed

abc: 6.512 8.178 12.042
angles: 90.00 122.01 90.00
Positions (direct):
Pr: 0.073 0.173 0.435
Pr: 0.073 0.327 0.935
Pr: 0.291 0.677 0.442
Pr: 0.291 0.823 0.942
Pr: 0.374 0.038 0.241
Pr: 0.374 0.462 0.741
Pr: 0.626 0.538 0.259
Pr: 0.626 0.962 0.759
Pr: 0.709 0.177 0.058
Pr: 0.709 0.323 0.558
Pr: 0.927 0.673 0.065
Pr: 0.927 0.827 0.565
Si: 0.185 0.116 0.755
Si: 0.185 0.384 0.255
Si: 0.815 0.616 0.745
Si: 0.815 0.884 0.245
Ir: 0.500 0.000 0.500
Ir: 0.500 0.500 0.000

**Calculated volume**: 271.9 Å³/f.u.
**Total DFT energy (no corrections)**: -5.779 eV per atom
**E_form (uncorrected)**: -0.4034 eV per atom

***

PrSi7Ir3 | PBE | relaxed

abc: 8.118 8.118 8.118
angles: 56.55 56.55 56.55
Positions (direct):
Pr: 0.000 0.000 0.000
Pr: 0.500 0.500 0.500
Si: 0.063 0.851 0.673
Si: 0.149 0.327 0.937
Si: 0.173 0.351 0.563
Si: 0.250 0.250 0.250
Si: 0.327 0.937 0.149
Si: 0.351 0.563 0.173
Si: 0.437 0.827 0.649
Si: 0.563 0.173 0.351
Si: 0.649 0.437 0.827
Si: 0.673 0.063 0.851
Si: 0.750 0.750 0.750
Si: 0.827 0.649 0.437
Si: 0.851 0.673 0.063
Si: 0.937 0.149 0.327
Ir: 0.067 0.750 0.433
Ir: 0.250 0.567 0.933
Ir: 0.433 0.067 0.750
Ir: 0.567 0.933 0.250
Ir: 0.750 0.433 0.067
Ir: 0.933 0.250 0.567

**Calculated volume**: 174.1 Å³/f.u.
**Total DFT energy (no corrections)**: -6.979 eV per atom
**E_form (uncorrected)**: -0.6764 eV per atom

***

PrSi3Ir2 | PBE | relaxed

abc: 8.302 8.302 9.616
angles: 102.69 102.69 28.17
Positions (direct):
Pr: 0.000 0.000 0.000
Pr: 0.153 0.153 0.699
Pr: 0.847 0.847 0.301
Si: 0.047 0.047 0.370
Si: 0.222 0.222 0.372
Si: 0.356 0.356 0.069
Si: 0.360 0.360 0.817
Si: 0.500 0.500 0.500
Si: 0.640 0.640 0.183
Si: 0.644 0.644 0.931
Si: 0.778 0.778 0.628
Si: 0.953 0.953 0.630
Ir: 0.208 0.208 0.090
Ir: 0.352 0.352 0.563
Ir: 0.493 0.493 0.238
Ir: 0.507 0.507 0.762
Ir: 0.648 0.648 0.437
Ir: 0.792 0.792 0.910

**Calculated volume**: 101.6 Å³/f.u.
**Total DFT energy (no corrections)**: -7.260 eV per atom
**E_form (uncorrected)**: -0.7983 eV per atom

***

PrSi3Ir | PBE | relaxed

abc: 5.939 5.671 5.770
angles: 90.00 90.00 90.00
Positions (direct):
Pr: 0.000 0.141 0.000
Pr: 0.500 0.859 0.500
Si: 0.000 0.957 0.510
Si: 0.213 0.331 0.496
Si: 0.287 0.669 0.996
Si: 0.500 0.043 0.010
Si: 0.713 0.669 0.996
Si: 0.787 0.331 0.496
Ir: 0.000 0.619 0.276
Ir: 0.500 0.381 0.776

**Calculated volume**: 97.2 Å³/f.u.
**Total DFT energy (no corrections)**: -6.642 eV per atom
**E_form (uncorrected)**: -0.6604 eV per atom

***

Pr2Si3Ir2 | PBE | relaxed

abc: 5.900 5.900 7.119
angles: 118.70 118.70 39.89
Positions (direct):
Pr: 0.138 0.138 0.264
Pr: 0.862 0.862 0.736
Si: 0.353 0.353 0.068
Si: 0.500 0.500 0.500
Si: 0.647 0.647 0.932
Ir: 0.134 0.134 0.719
Ir: 0.866 0.866 0.281

**Calculated volume**: 136.6 Å³/f.u.
**Total DFT energy (no corrections)**: -6.974 eV per atom
**E_form (uncorrected)**: -0.7521 eV per atom

***

PrSmSiIr | PBE | relaxed

abc: 4.102 5.816 5.816
angles: 43.64 90.00 90.00
Positions (direct):
Pr: 0.000 0.000 0.000
Sm: 0.500 0.283 0.283
Si: 0.500 0.584 0.584
Ir: 0.000 0.717 0.717

**Calculated volume**: 95.8 Å³/f.u.
**Total DFT energy (no corrections)**: -6.700 eV per atom
**E_form (uncorrected)**: -0.7539 eV per atom

***

Pr2TaSi3Ir4 | PBE | relaxed

abc: 4.185 4.185 10.434
angles: 90.00 90.00 90.00
Positions (direct):
Pr: 0.000 0.500 0.242
Pr: 0.500 0.000 0.758
Ta: 0.000 0.000 0.500
Si: 0.000 0.500 0.876
Si: 0.500 0.000 0.124
Si: 0.500 0.500 0.500
Ir: 0.000 0.000 0.000
Ir: 0.000 0.500 0.640
Ir: 0.500 0.000 0.360
Ir: 0.500 0.500 0.000

**Calculated volume**: 182.7 Å³/f.u.
**Total DFT energy (no corrections)**: -8.239 eV per atom
**E_form (uncorrected)**: -0.9261 eV per atom

***

TbPrSiIr | PBE | relaxed

abc: 3.954 5.962 5.962
angles: 42.08 90.00 90.00
Positions (direct):
Tb: 0.000 0.000 0.000
Pr: 0.500 0.719 0.719
Si: 0.000 0.308 0.308
Ir: 0.500 0.443 0.443

**Calculated volume**: 94.2 Å³/f.u.
**Total DFT energy (no corrections)**: -6.704 eV per atom
**E_form (uncorrected)**: -0.7806 eV per atom

***

Q: Which value of calculated volume does entry 10 give?
A: 95.8 Å³/f.u.

***

Q: Which value of total DFT energy (no corrections) does entry 7 give?
A: -7.260 eV per atom

***

Q: The highest calculated volume belongs to which entry?
A: Pr6Si2Ir

***

Q: The highest E_form (uncorrected) belongs to which entry?
A: Pr6Si2Ir